Entry 1:
Entry from Alexandria: an optimized crystal structure of K3NaCu2Cl6 (PBE).

Summary:
The calculation puts the density of states at the Fermi level at 0.000 states/eV per atom. The value obtained for the uncorrected formation energy is -1.34 eV per atom. Its space-group type is P-3m1 (164).

```
K3NaCu2Cl6
1.0
7.504 0.000 0.000
-3.752 6.499 0.000
0.000 0.000 8.125
K Na Cu Cl
3 1 2 6
direct
0.000 0.000 0.000 K
0.333 0.667 0.668 K
0.667 0.333 0.332 K
0.000 0.000 0.500 Na
0.333 0.667 0.265 Cu
0.667 0.333 0.735 Cu
0.163 0.327 0.280 Cl
0.163 0.837 0.280 Cl
0.327 0.163 0.720 Cl
0.673 0.837 0.280 Cl
0.837 0.163 0.720 Cl
0.837 0.673 0.720 Cl
```

***

Entry 2:
Entry from Alexandria: an optimized crystal structure of CaPmPr2S4 (PBE).

Summary:
The calculation puts the density of states at the Fermi level at 0.380 states/eV per atom. The value obtained for the uncorrected formation energy is -2.04 eV per atom. Its space-group type is P2/m (10).

```
CaPmPr2S4
1.0
7.043 0.000 0.000
0.000 4.044 0.000
-2.315 0.000 6.684
Ca Pm Pr S
1 1 2 4
direct
0.000 0.000 0.000 Ca
0.500 0.500 0.000 Pm
0.000 0.500 0.500 Pr
0.500 0.000 0.500 Pr
0.245 0.500 0.240 S
0.250 0.000 0.759 S
0.750 0.000 0.241 S
0.755 0.500 0.760 S
```

***

Entry 3:
Entry from Alexandria: an optimized crystal structure of LaPIr2 (PBE).

Summary:
The calculation puts the density of states at the Fermi level at 1.062 states/eV per atom. For the formation energy, the calculation gives -0.627 eV per atom. Its space-group type is P2/m (10).

```
LaPIr2
1.0
4.470 0.000 0.000
0.000 3.644 0.000
-0.011 0.000 5.438
La P Ir
1 1 2
direct
0.000 0.000 0.000 La
0.500 0.000 0.500 P
0.500 0.500 0.243 Ir
0.500 0.500 0.757 Ir
```

***

Entry 4:
Entry from Alexandria: an optimized crystal structure of ZnRe2Pt (PBE).

Summary:
The calculation puts the density of states at the Fermi level at 0.494 states/eV per atom. For the formation energy, the calculation gives 0.156 eV per atom. Its space-group type is Pmmm (47).

```
ZnRe2Pt
1.0
3.564 0.000 0.000
0.000 3.830 0.000
0.000 0.000 4.388
Zn Re Pt
1 2 1
direct
0.000 0.000 0.000 Zn
0.000 0.500 0.500 Re
0.500 0.000 0.500 Re
0.500 0.500 0.000 Pt
```

***

Entry 5:
Entry from Alexandria: an optimized crystal structure of TcB2Os2 (PBE).

Summary:
The calculation puts the density of states at the Fermi level at 0.914 states/eV per atom. As for the distance to the lowest polymorph of the same formula: 0.0 meV/atom. For the formation energy, the calculation gives 0.097 eV per atom. Its space-group type is P4/mbm (127).

```
TcB2Os2
1.0
6.295 0.000 0.000
0.000 6.295 0.000
0.000 0.000 2.788
Tc B Os
2 4 4
direct
0.000 0.000 0.000 Tc
0.500 0.500 0.000 Tc
0.151 0.349 0.000 B
0.349 0.849 0.000 B
0.651 0.151 0.000 B
0.849 0.651 0.000 B
0.149 0.649 0.500 Os
0.351 0.149 0.500 Os
0.649 0.851 0.500 Os
0.851 0.351 0.500 Os
```

***

Entry 6:
Entry from Alexandria: an optimized crystal structure of SnH2W2 (PBE).

Summary:
The calculation puts the density of states at the Fermi level at 0.742 states/eV per atom. As for the distance to the lowest polymorph of the same formula: 557.9 meV/atom. Its space-group type is P4/mbm (127).

```
SnH2W2
1.0
7.037 0.000 0.000
0.000 7.037 0.000
0.000 0.000 2.851
Sn H W
2 4 4
direct
0.000 0.000 0.000 Sn
0.500 0.500 0.000 Sn
0.094 0.406 0.500 H
0.406 0.906 0.500 H
0.594 0.094 0.500 H
0.906 0.594 0.500 H
0.124 0.624 0.000 W
0.376 0.124 0.000 W
0.624 0.876 0.000 W
0.876 0.376 0.000 W
```

***

Entry 7:
Entry from Alexandria: an optimized crystal structure of Rb2CdBO4 (PBE).

Summary:
The calculation puts the density of states at the Fermi level at 0.770 states/eV per atom. The value obtained for the uncorrected formation energy is -1.39 eV per atom. Its space-group type is Fddd (70).

```
Rb2CdBO4
1.0
0.000 5.712 10.961
2.625 0.000 10.961
2.625 5.712 0.000
Rb Cd B O
4 2 2 8
direct
0.053 0.053 0.697 Rb
0.303 0.303 0.947 Rb
0.697 0.697 0.053 Rb
0.947 0.947 0.303 Rb
0.125 0.125 0.125 Cd
0.875 0.875 0.875 Cd
0.375 0.375 0.375 B
0.625 0.625 0.625 B
0.095 0.577 0.500 O
0.328 0.500 0.577 O
0.423 0.905 0.672 O
0.500 0.328 0.095 O
0.500 0.672 0.905 O
0.577 0.095 0.328 O
0.672 0.500 0.423 O
0.905 0.423 0.500 O
```

***

Entry 8:
Entry from Alexandria: an optimized crystal structure of Tl4In3Sn (PBE).

Summary:
The calculation puts the density of states at the Fermi level at 0.422 states/eV per atom. For the formation energy, the calculation gives 0.024 eV per atom. Its space-group type is Immm (71).

```
Tl4In3Sn
1.0
-1.992 2.710 10.825
1.992 -2.710 10.825
1.992 2.710 -10.825
Tl In Sn
4 3 1
direct
0.125 0.125 0.000 Tl
0.259 0.759 0.500 Tl
0.741 0.241 0.500 Tl
0.875 0.875 0.000 Tl
0.385 0.385 0.000 In
0.500 0.000 0.500 In
0.615 0.615 0.000 In
0.000 0.500 0.500 Sn
```

***

Entry 9:
Entry from Alexandria: an optimized crystal structure of Dy2Y2TmMg2 (PBE).

Summary:
The calculation puts the density of states at the Fermi level at 1.274 states/eV per atom. For the formation energy, the calculation gives -0.005 eV per atom. Its space-group type is R-3m (166).

```
Dy2Y2TmMg2
1.0
2.717 1.569 7.972
-2.717 1.569 7.972
0.000 -3.138 7.972
Dy Y Tm Mg
2 2 1 2
direct
0.074 0.074 0.074 Dy
0.926 0.926 0.926 Dy
0.346 0.346 0.346 Y
0.654 0.654 0.654 Y
0.500 0.500 0.500 Tm
0.211 0.211 0.211 Mg
0.789 0.789 0.789 Mg
```

***

Entry 10:
Entry from Alexandria: an optimized crystal structure of Ba8Pt2Au (PBE).

Summary:
The calculation puts the density of states at the Fermi level at 0.915 states/eV per atom. For the formation energy, the calculation gives -0.330 eV per atom. Its space-group type is P-1 (2).

```
Ba8Pt2Au
1.0
6.730 0.000 0.000
0.001 10.111 0.000
0.001 5.051 8.762
Ba Pt Au
8 2 1
direct
0.248 0.333 0.333 Ba
0.250 0.324 0.839 Ba
0.250 0.838 0.324 Ba
0.250 0.839 0.838 Ba
0.750 0.161 0.162 Ba
0.750 0.162 0.676 Ba
0.750 0.676 0.161 Ba
0.752 0.667 0.667 Ba
0.256 0.667 0.667 Pt
0.744 0.333 0.333 Pt
0.500 0.000 0.000 Au
```

***

Entry 11:
Entry from Alexandria: an optimized crystal structure of Pm6AlSn2 (PBE).

Summary:
The calculation puts the density of states at the Fermi level at 1.027 states/eV per atom. For the formation energy, the calculation gives -0.462 eV per atom. Its space-group type is P-62m (189).

```
Pm6AlSn2
1.0
8.462 0.000 0.000
-4.231 7.328 0.000
0.000 0.000 4.498
Pm Al Sn
6 1 2
direct
0.000 0.253 0.000 Pm
0.000 0.591 0.500 Pm
0.253 0.000 0.000 Pm
0.409 0.409 0.500 Pm
0.591 0.000 0.500 Pm
0.747 0.747 0.000 Pm
0.000 0.000 0.500 Al
0.333 0.667 0.000 Sn
0.667 0.333 0.000 Sn
```

***

Entry 12:
Entry from Alexandria: an optimized crystal structure of LiSbMo (PBE).

Summary:
The calculation puts the density of states at the Fermi level at 0.451 states/eV per atom. As for the distance to the lowest polymorph of the same formula: 194.3 meV/atom. The value obtained for the uncorrected formation energy is 0.36 eV per atom. Its space-group type is Fmm2 (42).

```
LiSbMo
1.0
0.000 2.418 6.841
1.777 0.000 6.841
1.777 2.418 0.000
Li Sb Mo
1 1 1
direct
0.000 0.000 0.000 Li
0.309 0.309 0.691 Sb
0.658 0.658 0.342 Mo
```

***

| no. | calculated volume (Å³/cell) |
| --- | --- |
| 1 | 396 |
| 2 | 190 |
| 3 | 89 |
| 4 | 60 |
| 5 | 110 |
| 6 | 141 |
| 7 | 329 |
| 8 | 234 |
| 9 | 204 |
| 10 | 596 |
| 11 | 279 |
| 12 | 59 |